# PBE NaNiGe2Au, optimized geometry
data_NaNiGe2Au
_cell_length_a 4.970
_cell_length_b 4.970
_cell_length_c 4.965
_cell_angle_alpha 90.00
_cell_angle_beta 90.00
_cell_angle_gamma 90.00
_symmetry_space_group_name_H-M 'P 4/m m m'
_symmetry_Int_Tables_number 123
_symmetry_space_group_name_Hall '-P 4 2'
loop_
_atom_site_label
_atom_site_fract_x
_atom_site_fract_y
_atom_site_fract_z
Na1 0.000 0.000 0.000
Ni1 0.500 0.500 0.000
Ge1 0.000 0.500 0.500
Au1 0.500 0.500 0.500
# Final energy ... -16.7 eV per cell
# Fermi-level density of states ... 5.86 states/eV per cell
# Volume ... 24.53 Å³/atom